CaAcSn: optimized geometry, GGA-PBE.

Summary:
distance to the lowest polymorph of the same formula: 0 meV per atom
SG: P-62m (189)
uncorrected energy: -0.29239 Ry/atom

Lattice parameters (Å, degrees): 8.6530 8.6530 4.8999 90.00 90.00 120.00
Fractional positions:
1 Ca 0.0000 0.2535 0.0000
2 Ca 0.2535 0.0000 0.0000
3 Ca 0.7465 0.7465 0.0000
4 Ac 0.0000 0.5954 0.5000
5 Ac 0.4046 0.4046 0.5000
6 Ac 0.5954 0.0000 0.5000
7 Sn 0.0000 0.0000 0.5000
8 Sn 0.3333 0.6667 0.0000
9 Sn 0.6667 0.3333 0.0000

---

CaAcSn2: optimized geometry, GGA-PBE.

Summary:
SG: Pnma (62)
uncorrected energy: -0.30552 Ry/atom

Lattice parameters (Å, degrees): 9.3358 4.4624 12.6575 90.00 90.00 90.00
Fractional positions:
1 Ca 0.0158 0.2500 0.1068
2 Ca 0.4842 0.7500 0.6068
3 Ca 0.5158 0.2500 0.3932
4 Ca 0.9842 0.7500 0.8932
5 Ac 0.1287 0.7500 0.3543
6 Ac 0.3713 0.2500 0.8543
7 Ac 0.6287 0.7500 0.1457
8 Ac 0.8713 0.2500 0.6457
9 Sn 0.1583 0.7500 0.6900
10 Sn 0.2432 0.2500 0.5478
11 Sn 0.2568 0.7500 0.0478
12 Sn 0.3417 0.2500 0.1900
13 Sn 0.6583 0.7500 0.8100
14 Sn 0.7432 0.2500 0.9522
15 Sn 0.7568 0.7500 0.4522
16 Sn 0.8417 0.2500 0.3100

---

CaAc2Sn2: optimized geometry, GGA-PBE.

Summary:
distance to the lowest polymorph of the same formula: 174 meV per atom
SG: Ibam (72)
uncorrected energy: -0.30810 Ry/atom

Lattice parameters (Å, degrees): 8.5866 8.5866 8.5866 119.67 80.27 132.37
Fractional positions:
1 Ca 0.2500 0.2500 0.0000
2 Ca 0.7500 0.7500 0.0000
3 Ac 0.1437 0.6462 0.7899
4 Ac 0.3563 0.1462 0.5025
5 Ac 0.6437 0.8538 0.4975
6 Ac 0.8563 0.3538 0.2101
7 Sn 0.1131 0.2588 0.3719
8 Sn 0.3869 0.7588 0.1458
9 Sn 0.6131 0.2412 0.8542
10 Sn 0.8869 0.7412 0.6281

---

SrCaAcSn: optimized geometry, GGA-PBE.

Summary:
SG: F-43m (216)
uncorrected energy: -0.23420 Ry/atom

Lattice parameters (Å, degrees): 8.3715 8.3715 8.3715 90.00 90.00 90.00
Fractional positions:
1 Sr 0.0000 0.0000 0.0000
2 Sr 0.0000 0.5000 0.5000
3 Sr 0.5000 0.0000 0.5000
4 Sr 0.5000 0.5000 0.0000
5 Ca 0.2500 0.2500 0.7500
6 Ca 0.2500 0.7500 0.2500
7 Ca 0.7500 0.2500 0.2500
8 Ca 0.7500 0.7500 0.7500
9 Ac 0.0000 0.0000 0.5000
10 Ac 0.0000 0.5000 0.0000
11 Ac 0.5000 0.0000 0.0000
12 Ac 0.5000 0.5000 0.5000
13 Sn 0.2500 0.2500 0.2500
14 Sn 0.2500 0.7500 0.7500
15 Sn 0.7500 0.2500 0.7500
16 Sn 0.7500 0.7500 0.2500

---

CaAcTbSn: optimized geometry, GGA-PBE.

Summary:
SG: F-43m (216)
uncorrected energy: -0.27860 Ry/atom

Lattice parameters (Å, degrees): 8.0211 8.0211 8.0211 90.00 90.00 90.00
Fractional positions:
1 Ca 0.0000 0.0000 0.0000
2 Ca 0.0000 0.5000 0.5000
3 Ca 0.5000 0.0000 0.5000
4 Ca 0.5000 0.5000 0.0000
5 Ac 0.2500 0.2500 0.7500
6 Ac 0.2500 0.7500 0.2500
7 Ac 0.7500 0.2500 0.2500
8 Ac 0.7500 0.7500 0.7500
9 Tb 0.0000 0.0000 0.5000
10 Tb 0.0000 0.5000 0.0000
11 Tb 0.5000 0.0000 0.0000
12 Tb 0.5000 0.5000 0.5000
13 Sn 0.2500 0.2500 0.2500
14 Sn 0.2500 0.7500 0.7500
15 Sn 0.7500 0.2500 0.7500
16 Sn 0.7500 0.7500 0.2500

---

CaAcTlSn: optimized geometry, GGA-PBE.

Summary:
SG: F-43m (216)
uncorrected energy: -0.26663 Ry/atom

Lattice parameters (Å, degrees): 8.0206 8.0206 8.0206 90.00 90.00 90.00
Fractional positions:
1 Ca 0.0000 0.0000 0.0000
2 Ca 0.0000 0.5000 0.5000
3 Ca 0.5000 0.0000 0.5000
4 Ca 0.5000 0.5000 0.0000
5 Ac 0.0000 0.0000 0.5000
6 Ac 0.0000 0.5000 0.0000
7 Ac 0.5000 0.0000 0.0000
8 Ac 0.5000 0.5000 0.5000
9 Tl 0.2500 0.2500 0.2500
10 Tl 0.2500 0.7500 0.7500
11 Tl 0.7500 0.2500 0.7500
12 Tl 0.7500 0.7500 0.2500
13 Sn 0.2500 0.2500 0.7500
14 Sn 0.2500 0.7500 0.2500
15 Sn 0.7500 0.2500 0.2500
16 Sn 0.7500 0.7500 0.7500

---

CaAcZnSn: optimized geometry, GGA-PBE.

Summary:
SG: F-43m (216)
uncorrected energy: -0.24369 Ry/atom

Lattice parameters (Å, degrees): 7.8287 7.8287 7.8287 90.00 90.00 90.00
Fractional positions:
1 Ca 0.0000 0.0000 0.0000
2 Ca 0.0000 0.5000 0.5000
3 Ca 0.5000 0.0000 0.5000
4 Ca 0.5000 0.5000 0.0000
5 Ac 0.0000 0.0000 0.5000
6 Ac 0.0000 0.5000 0.0000
7 Ac 0.5000 0.0000 0.0000
8 Ac 0.5000 0.5000 0.5000
9 Zn 0.2500 0.2500 0.7500
10 Zn 0.2500 0.7500 0.2500
11 Zn 0.7500 0.2500 0.2500
12 Zn 0.7500 0.7500 0.7500
13 Sn 0.2500 0.2500 0.2500
14 Sn 0.2500 0.7500 0.7500
15 Sn 0.7500 0.2500 0.7500
16 Sn 0.7500 0.7500 0.2500

---

Ca2AcZn2Sn2: optimized geometry, GGA-PBE.

Summary:
SG: R-3m (166)
uncorrected energy: -0.22686 Ry/atom

Lattice parameters (Å, degrees): 10.5987 10.5987 10.5987 25.71 25.71 25.71
Fractional positions:
1 Ca 0.1314 0.1314 0.1314
2 Ca 0.8686 0.8686 0.8686
3 Ac 0.0000 0.0000 0.0000
4 Zn 0.3972 0.3972 0.3972
5 Zn 0.6028 0.6028 0.6028
6 Sn 0.2531 0.2531 0.2531
7 Sn 0.7469 0.7469 0.7469

---

CaAc2Zn3Sn4: optimized geometry, GGA-PBE.

Summary:
SG: P-4m2 (115)
uncorrected energy: -0.25298 Ry/atom

Lattice parameters (Å, degrees): 4.7279 4.7279 12.2105 90.00 90.00 90.00
Fractional positions:
1 Ca 0.0000 0.0000 0.0000
2 Ac 0.0000 0.5000 0.7298
3 Ac 0.5000 0.0000 0.2702
4 Zn 0.0000 0.5000 0.3738
5 Zn 0.5000 0.0000 0.6262
6 Zn 0.5000 0.5000 0.0000
7 Sn 0.0000 0.0000 0.5000
8 Sn 0.0000 0.5000 0.1567
9 Sn 0.5000 0.0000 0.8433
10 Sn 0.5000 0.5000 0.5000

---

CaAcZn2Sn2: optimized geometry, GGA-PBE.

Summary:
SG: P-3m1 (164)
uncorrected energy: -0.24360 Ry/atom

Lattice parameters (Å, degrees): 4.6219 4.6219 8.7879 90.00 90.00 120.00
Fractional positions:
1 Ca 0.0000 0.0000 0.0000
2 Ac 0.0000 0.0000 0.5000
3 Zn 0.3333 0.6667 0.2606
4 Zn 0.6667 0.3333 0.7394
5 Sn 0.3333 0.6667 0.7678
6 Sn 0.6667 0.3333 0.2322

---

Sr3Ca2Ac2: optimized geometry, GGA-PBE.

Summary:
SG: Cmmm (65)
uncorrected energy: -0.17424 Ry/atom

Lattice parameters (Å, degrees): 3.9994 42.5459 3.9761 90.00 90.00 90.00
Fractional positions:
1 Sr 0.0000 0.0000 0.0000
2 Sr 0.0000 0.4243 0.5000
3 Sr 0.0000 0.5757 0.5000
4 Sr 0.5000 0.0757 0.5000
5 Sr 0.5000 0.5000 0.0000
6 Sr 0.5000 0.9243 0.5000
7 Ca 0.0000 0.1461 0.0000
8 Ca 0.0000 0.8539 0.0000
9 Ca 0.5000 0.3539 0.0000
10 Ca 0.5000 0.6461 0.0000
11 Ac 0.0000 0.2881 0.5000
12 Ac 0.0000 0.7119 0.5000
13 Ac 0.5000 0.2119 0.5000
14 Ac 0.5000 0.7881 0.5000

---

Sr2CaAc: optimized geometry, GGA-PBE.

Summary:
distance to the lowest polymorph of the same formula: 34 meV per atom
SG: Fm-3m (225)
uncorrected energy: -0.16795 Ry/atom

Lattice parameters (Å, degrees): 9.1439 9.1439 9.1439 90.00 90.00 90.00
Fractional positions:
1 Sr 0.2500 0.2500 0.2500
2 Sr 0.2500 0.2500 0.7500
3 Sr 0.2500 0.7500 0.2500
4 Sr 0.2500 0.7500 0.7500
5 Sr 0.7500 0.2500 0.2500
6 Sr 0.7500 0.2500 0.7500
7 Sr 0.7500 0.7500 0.2500
8 Sr 0.7500 0.7500 0.7500
9 Ca 0.0000 0.0000 0.0000
10 Ca 0.0000 0.5000 0.5000
11 Ca 0.5000 0.0000 0.5000
12 Ca 0.5000 0.5000 0.0000
13 Ac 0.0000 0.0000 0.5000
14 Ac 0.0000 0.5000 0.0000
15 Ac 0.5000 0.0000 0.0000
16 Ac 0.5000 0.5000 0.5000

---

> Which value of uncorrected energy does entry 12 give?

-0.16795 Ry/atom